Record 1
Entry from the Alexandria database: a relaxed structure of Y8TlCo2 (PBE-GGA).

Results
E, eV per cell: -138.79
Formation energy, eV per atom: -0.1006

CIF file:
```
data_Y8TlCo2
_cell_length_a 8.699
_cell_length_b 13.266
_cell_length_c 5.320
_cell_angle_alpha 90.00
_cell_angle_beta 103.14
_cell_angle_gamma 90.00
_symmetry_space_group_name_H-M 'C 1 2/m 1'
_symmetry_Int_Tables_number 12
_symmetry_space_group_name_Hall '-C 2y'
loop_
_atom_site_label
_atom_site_fract_x
_atom_site_fract_y
_atom_site_fract_z
Y1 0.000 0.250 0.000
Y2 0.113 0.000 0.802
Y3 0.200 0.368 0.573
Tl1 0.000 0.500 0.000
Co1 0.000 0.193 0.500
```


Record 2
Entry from the Alexandria database: a relaxed structure of YTlCo2 (PBE-GGA).

Results
Relative energy among the computed polymorphs, kJ per mole of atoms: 0.0
E, eV per cell: -69.43
Formation energy, eV per atom: -0.0253

CIF file:
```
data_YTlCo2
_cell_length_a 3.9486
_cell_length_b 3.9486
_cell_length_c 17.6978
_cell_angle_alpha 90.00
_cell_angle_beta 90.00
_cell_angle_gamma 120.00
_symmetry_space_group_name_H-M 'R 3 m'
_symmetry_Int_Tables_number 160
_symmetry_space_group_name_Hall 'R 3 -2"'
loop_
_atom_site_label
_atom_site_fract_x
_atom_site_fract_y
_atom_site_fract_z
Y1 0.0000 0.0000 0.0000
Tl1 0.0000 0.0000 0.8026
Co1 0.0000 0.0000 0.2317
Co2 0.0000 0.0000 0.5631
```


Record 3
Entry from the Alexandria database: a relaxed structure of Y5Tl2Co2 (PBE-GGA).

Results
E, eV per cell: -214.04
Formation energy, eV per atom: -0.2495

CIF file:
```
data_Y5Tl2Co2
_cell_length_a 16.658
_cell_length_b 7.390
_cell_length_c 7.352
_cell_angle_alpha 90.00
_cell_angle_beta 90.00
_cell_angle_gamma 90.00
_symmetry_space_group_name_H-M 'C m c e'
_symmetry_Int_Tables_number 64
_symmetry_space_group_name_Hall '-C 2ac 2'
loop_
_atom_site_label
_atom_site_fract_x
_atom_site_fract_y
_atom_site_fract_z
Y1 0.000 0.000 0.000
Y2 0.117 0.183 0.322
Tl1 0.227 0.000 0.000
Co1 0.000 0.110 0.608
```


Record 4
Entry from the Alexandria database: a relaxed structure of YTlCo (PBE-GGA).

Results
E, eV per cell: -66.45
Formation energy, eV per atom: -0.2258

CIF file:
```
data_YTlCo
_cell_length_a 6.702
_cell_length_b 3.874
_cell_length_c 11.301
_cell_angle_alpha 90.00
_cell_angle_beta 101.27
_cell_angle_gamma 90.00
_symmetry_space_group_name_H-M 'C 1 m 1'
_symmetry_Int_Tables_number 8
_symmetry_space_group_name_Hall 'C -2y'
loop_
_atom_site_label
_atom_site_fract_x
_atom_site_fract_y
_atom_site_fract_z
Y1 0.000 0.000 0.000
Y2 0.110 0.000 0.331
Tl1 0.090 0.500 0.771
Tl2 0.353 0.500 0.561
Co1 0.222 0.500 0.165
Co2 0.389 0.000 0.166
```


Record 5
Entry from the Alexandria database: a relaxed structure of YTlCo2 (PBE-GGA).

Results
Relative energy among the computed polymorphs, kJ per mole of atoms: 22.1
E, eV per cell: -22.23
Formation energy, eV per atom: 0.2033

CIF file:
```
data_YTlCo2
_cell_length_a 3.375
_cell_length_b 3.375
_cell_length_c 6.236
_cell_angle_alpha 90.00
_cell_angle_beta 90.00
_cell_angle_gamma 90.00
_symmetry_space_group_name_H-M 'P 4/m m m'
_symmetry_Int_Tables_number 123
_symmetry_space_group_name_Hall '-P 4 2'
loop_
_atom_site_label
_atom_site_fract_x
_atom_site_fract_y
_atom_site_fract_z
Y1 0.000 0.000 0.000
Tl1 0.000 0.000 0.500
Co1 0.500 0.500 0.273
```


Record 6
Entry from the Alexandria database: a relaxed structure of Y6TlCo2 (PBE-GGA).

Results
E, eV per cell: -230.28
Formation energy, eV per atom: -0.2454

CIF file:
```
data_Y6TlCo2
_cell_length_a 9.504
_cell_length_b 9.682
_cell_length_c 10.028
_cell_angle_alpha 90.00
_cell_angle_beta 90.00
_cell_angle_gamma 90.00
_symmetry_space_group_name_H-M 'I m m m'
_symmetry_Int_Tables_number 71
_symmetry_space_group_name_Hall '-I 2 2'
loop_
_atom_site_label
_atom_site_fract_x
_atom_site_fract_y
_atom_site_fract_z
Y1 0.000 0.212 0.230
Y2 0.197 0.500 0.185
Y3 0.211 0.313 0.500
Tl1 0.000 0.000 0.000
Tl2 0.000 0.000 0.500
Co1 0.000 0.382 0.000
Co2 0.000 0.500 0.389
```


Record 7
Entry from the Alexandria database: a relaxed structure of YTlCo2 (PBE-GGA).

Results
Relative energy among the computed polymorphs, kJ per mole of atoms: 14.8
E, eV per cell: -22.53
Formation energy, eV per atom: 0.1285

CIF file:
```
data_YTlCo2
_cell_length_a 4.405
_cell_length_b 4.405
_cell_length_c 3.529
_cell_angle_alpha 90.00
_cell_angle_beta 90.00
_cell_angle_gamma 90.00
_symmetry_space_group_name_H-M 'P 4/m m m'
_symmetry_Int_Tables_number 123
_symmetry_space_group_name_Hall '-P 4 2'
loop_
_atom_site_label
_atom_site_fract_x
_atom_site_fract_y
_atom_site_fract_z
Y1 0.000 0.000 0.000
Tl1 0.500 0.500 0.000
Co1 0.000 0.500 0.500
```


Record 8
Entry from the Alexandria database: a relaxed structure of YTlCo2 (PBE-GGA).

Results
Relative energy among the computed polymorphs, kJ per mole of atoms: 57.2
E, eV per cell: -83.09
Formation energy, eV per atom: 0.5671

CIF file:
```
data_YTlCo2
_cell_length_a 7.124
_cell_length_b 7.124
_cell_length_c 6.038
_cell_angle_alpha 90.00
_cell_angle_beta 90.00
_cell_angle_gamma 90.00
_symmetry_space_group_name_H-M 'I -4 2 d'
_symmetry_Int_Tables_number 122
_symmetry_space_group_name_Hall 'I -4 2bw'
loop_
_atom_site_label
_atom_site_fract_x
_atom_site_fract_y
_atom_site_fract_z
Y1 0.000 0.000 0.000
Tl1 0.000 0.000 0.500
Co1 0.237 0.250 0.625
```


Record 9
Entry from the Alexandria database: a relaxed structure of YTlCo2 (PBE-GGA).

Results
Relative energy among the computed polymorphs, kJ per mole of atoms: 17.4
E, eV per cell: -44.85
Formation energy, eV per atom: 0.1548

CIF file:
```
data_YTlCo2
_cell_length_a 3.672
_cell_length_b 4.657
_cell_length_c 8.886
_cell_angle_alpha 90.00
_cell_angle_beta 90.00
_cell_angle_gamma 90.00
_symmetry_space_group_name_H-M 'I m m 2'
_symmetry_Int_Tables_number 44
_symmetry_space_group_name_Hall 'I 2 -2'
loop_
_atom_site_label
_atom_site_fract_x
_atom_site_fract_y
_atom_site_fract_z
Y1 0.000 0.000 0.000
Tl1 0.000 0.500 0.216
Co1 0.000 0.000 0.444
Co2 0.000 0.500 0.794
```


Record 10
Entry from the Alexandria database: a relaxed structure of YTl2Co2 (PBE-GGA).

Results
Relative energy among the computed polymorphs, kJ per mole of atoms: 0.0
E, eV per cell: -49.04
Formation energy, eV per atom: 0.1773

CIF file:
```
data_YTl2Co2
_cell_length_a 4.442
_cell_length_b 4.442
_cell_length_c 10.351
_cell_angle_alpha 90.00
_cell_angle_beta 90.00
_cell_angle_gamma 90.00
_symmetry_space_group_name_H-M 'I 4/m m m'
_symmetry_Int_Tables_number 139
_symmetry_space_group_name_Hall '-I 4 2'
loop_
_atom_site_label
_atom_site_fract_x
_atom_site_fract_y
_atom_site_fract_z
Y1 0.000 0.000 0.000
Tl1 0.000 0.500 0.250
Co1 0.000 0.000 0.397
```


Record 11
Entry from the Alexandria database: a relaxed structure of YTl2Co (PBE-GGA).

Results
E, eV per cell: -18.15
Formation energy, eV per atom: 0.0392

CIF file:
```
data_YTl2Co
_cell_length_a 3.886
_cell_length_b 3.691
_cell_length_c 6.939
_cell_angle_alpha 90.00
_cell_angle_beta 106.18
_cell_angle_gamma 90.00
_symmetry_space_group_name_H-M 'P 1 m 1'
_symmetry_Int_Tables_number 6
_symmetry_space_group_name_Hall 'P -2y'
loop_
_atom_site_label
_atom_site_fract_x
_atom_site_fract_y
_atom_site_fract_z
Y1 0.000 0.000 0.000
Tl1 0.294 0.000 0.592
Tl2 0.654 0.500 0.308
Co1 0.453 0.500 0.904
```


Record 12
Entry from the Alexandria database: a relaxed structure of YTlCo (PBE-GGA).

Results
E, eV per cell: -63.66
Formation energy, eV per atom: 0.0071

CIF file:
```
data_YTlCo
_cell_length_a 6.478
_cell_length_b 6.478
_cell_length_c 6.478
_cell_angle_alpha 90.00
_cell_angle_beta 90.00
_cell_angle_gamma 90.00
_symmetry_space_group_name_H-M 'F -4 3 m'
_symmetry_Int_Tables_number 216
_symmetry_space_group_name_Hall 'F -4 2 3'
loop_
_atom_site_label
_atom_site_fract_x
_atom_site_fract_y
_atom_site_fract_z
Y1 0.000 0.000 0.000
Tl1 0.000 0.000 0.500
Co1 0.250 0.250 0.250
```


Record 13
Entry from the Alexandria database: a relaxed structure of YTl4Co (PBE-GGA).

Results
E, eV per cell: -79.19
Formation energy, eV per atom: 0.5394

CIF file:
```
data_YTl4Co
_cell_length_a 8.700
_cell_length_b 8.700
_cell_length_c 8.700
_cell_angle_alpha 90.00
_cell_angle_beta 90.00
_cell_angle_gamma 90.00
_symmetry_space_group_name_H-M 'F -4 3 m'
_symmetry_Int_Tables_number 216
_symmetry_space_group_name_Hall 'F -4 2 3'
loop_
_atom_site_label
_atom_site_fract_x
_atom_site_fract_y
_atom_site_fract_z
Y1 0.000 0.000 0.000
Tl1 0.125 0.125 0.375
Co1 0.250 0.250 0.750
```


Record 14
Entry from the Alexandria database: a relaxed structure of YTl2Co (PBE-GGA).

Results
E, eV per cell: -69.59
Formation energy, eV per atom: 0.2265

CIF file:
```
data_YTl2Co
_cell_length_a 7.140
_cell_length_b 7.140
_cell_length_c 7.140
_cell_angle_alpha 90.00
_cell_angle_beta 90.00
_cell_angle_gamma 90.00
_symmetry_space_group_name_H-M 'F -4 3 m'
_symmetry_Int_Tables_number 216
_symmetry_space_group_name_Hall 'F -4 2 3'
loop_
_atom_site_label
_atom_site_fract_x
_atom_site_fract_y
_atom_site_fract_z
Y1 0.000 0.000 0.000
Tl1 0.000 0.000 0.500
Tl2 0.250 0.250 0.750
Co1 0.250 0.250 0.250
```


Record 15
Entry from the Alexandria database: a relaxed structure of YTl2Co (PBE-GGA).

Results
E, eV per cell: -17.69
Formation energy, eV per atom: 0.1537

CIF file:
```
data_YTl2Co
_cell_length_a 3.608
_cell_length_b 4.600
_cell_length_c 5.727
_cell_angle_alpha 90.00
_cell_angle_beta 103.33
_cell_angle_gamma 90.00
_symmetry_space_group_name_H-M 'P 1 2/m 1'
_symmetry_Int_Tables_number 10
_symmetry_space_group_name_Hall '-P 2y'
loop_
_atom_site_label
_atom_site_fract_x
_atom_site_fract_y
_atom_site_fract_z
Y1 0.000 0.000 0.000
Tl1 0.352 0.500 0.723
Co1 0.500 0.000 0.500
```


Record 16
Entry from the Alexandria database: a relaxed structure of YTl2Co (PBE-GGA).

Results
E, eV per cell: -34.06
Formation energy, eV per atom: 0.3181

CIF file:
```
data_YTl2Co
_cell_length_a 6.197
_cell_length_b 10.578
_cell_length_c 3.529
_cell_angle_alpha 90.00
_cell_angle_beta 122.82
_cell_angle_gamma 90.00
_symmetry_space_group_name_H-M 'C 1 2/m 1'
_symmetry_Int_Tables_number 12
_symmetry_space_group_name_Hall '-C 2y'
loop_
_atom_site_label
_atom_site_fract_x
_atom_site_fract_y
_atom_site_fract_z
Y1 0.000 0.000 0.000
Tl1 0.250 0.250 0.500
Co1 0.000 0.500 0.000
```


Record 17
Entry from the Alexandria database: a relaxed structure of YTlCo (PBE-GGA).

Results
E, eV per cell: -15.98
Formation energy, eV per atom: -0.0150

CIF file:
```
data_YTlCo
_cell_length_a 4.5527
_cell_length_b 4.5527
_cell_length_c 3.6308
_cell_angle_alpha 90.00
_cell_angle_beta 90.00
_cell_angle_gamma 120.00
_symmetry_space_group_name_H-M 'P -6 m 2'
_symmetry_Int_Tables_number 187
_symmetry_space_group_name_Hall 'P -6 2'
loop_
_atom_site_label
_atom_site_fract_x
_atom_site_fract_y
_atom_site_fract_z
Y1 0.0000 0.0000 0.0000
Tl1 0.6667 0.3333 0.5000
Co1 0.3333 0.6667 0.5000
```


Record 18
Entry from the Alexandria database: a relaxed structure of TlZn2Co (PBE-GGA).

Results
Relative energy among the computed polymorphs, kJ per mole of atoms: 10.9
E, eV per cell: -21.74
Formation energy, eV per atom: 0.2879

CIF file:
```
data_TlZn2Co
_cell_length_a 3.827
_cell_length_b 3.827
_cell_length_c 8.612
_cell_angle_alpha 90.00
_cell_angle_beta 90.00
_cell_angle_gamma 90.00
_symmetry_space_group_name_H-M 'I 4/m m m'
_symmetry_Int_Tables_number 139
_symmetry_space_group_name_Hall '-I 4 2'
loop_
_atom_site_label
_atom_site_fract_x
_atom_site_fract_y
_atom_site_fract_z
Tl1 0.000 0.000 0.000
Zn1 0.000 0.500 0.250
Co1 0.000 0.000 0.500
```


Record 19
Entry from the Alexandria database: a relaxed structure of Tl2ZnCo (PBE-GGA).

Results
Relative energy among the computed polymorphs, kJ per mole of atoms: 18.1
E, eV per cell: -11.19
Formation energy, eV per atom: 0.4813

CIF file:
```
data_Tl2ZnCo
_cell_length_a 3.510
_cell_length_b 3.510
_cell_length_c 6.426
_cell_angle_alpha 90.00
_cell_angle_beta 90.00
_cell_angle_gamma 90.00
_symmetry_space_group_name_H-M 'P 4/m m m'
_symmetry_Int_Tables_number 123
_symmetry_space_group_name_Hall '-P 4 2'
loop_
_atom_site_label
_atom_site_fract_x
_atom_site_fract_y
_atom_site_fract_z
Tl1 0.000 0.000 0.236
Zn1 0.500 0.500 0.500
Co1 0.500 0.500 0.000
```


Record 20
Entry from the Alexandria database: a relaxed structure of TlZnCo4 (PBE-GGA).

Results
E, eV per cell: -120.67
Formation energy, eV per atom: 0.3162

CIF file:
```
data_TlZnCo4
_cell_length_a 6.897
_cell_length_b 6.897
_cell_length_c 6.897
_cell_angle_alpha 90.00
_cell_angle_beta 90.00
_cell_angle_gamma 90.00
_symmetry_space_group_name_H-M 'F -4 3 m'
_symmetry_Int_Tables_number 216
_symmetry_space_group_name_Hall 'F -4 2 3'
loop_
_atom_site_label
_atom_site_fract_x
_atom_site_fract_y
_atom_site_fract_z
Tl1 0.000 0.000 0.000
Zn1 0.250 0.250 0.250
Co1 0.124 0.124 0.624
```